## P
The following is a DFT calculation (PBE) of a relaxed PmIF2 crystal.

a b c (Å): 3.9562 6.2656 7.2692
angles (deg): 90.00 90.00 108.42
Fractional positions:
F 0.6972 0.3944 0.4275
F 0.6972 0.3944 0.0725
Pm 0.7578 0.5156 0.7500
F 0.3028 0.6056 0.9275
I 0.9569 0.9134 0.2500
F 0.3028 0.6056 0.5725
I 0.0431 0.0866 0.7500
Pm 0.2422 0.4844 0.2500

Summary:
SG: Cmcm, No. 63
Size of the total moment in μB per atom: 0.00

## Q
The following is a DFT calculation (PBE) of a relaxed PmIF2 crystal.

a b c (Å): 6.2150 7.2639 16.0575
angles (deg): 90.00 90.00 90.00
Fractional positions:
F 0.6543 0.5742 0.5379
I 0.1657 0.7500 0.6010
F 0.4545 0.5468 0.3190
Pm 0.9639 0.2500 0.0698
F 0.0455 0.9532 0.8190
Pm 0.4639 0.7500 0.4302
F 0.4545 0.9532 0.3190
F 0.6543 0.9258 0.5379
F 0.5455 0.0468 0.6810
F 0.9545 0.4532 0.1810
F 0.3457 0.0742 0.4621
Pm 0.5361 0.2500 0.5698
I 0.4624 0.2500 0.1456
F 0.5455 0.4532 0.6810
Pm 0.6616 0.7500 0.6593
I 0.0376 0.2500 0.6456
Pm 0.3384 0.2500 0.3407
I 0.5376 0.7500 0.8544
I 0.6657 0.2500 0.8990
F 0.1543 0.4258 0.9621
I 0.8343 0.2500 0.3990
I 0.9624 0.7500 0.3544
F 0.0455 0.5468 0.8190
Pm 0.0361 0.7500 0.9302
Pm 0.1616 0.2500 0.8407
F 0.1543 0.0742 0.9621
Pm 0.8384 0.7500 0.1593
F 0.3457 0.4258 0.4621
F 0.9545 0.0468 0.1810
F 0.8457 0.9258 0.0379
I 0.3343 0.7500 0.1010
F 0.8457 0.5742 0.0379

Summary:
SG: Pnma, No. 62
Size of the total moment in μB per atom: 0.00

Name the most stable of them. P.

## P
The following is a DFT calculation (PBE) of a relaxed PrIF2 crystal.

a b c (Å): 4.0362 6.3263 7.3552
angles (deg): 90.00 90.00 108.60
Fractional positions:
Pr 0.7596 0.5193 0.7500
F 0.6969 0.3938 0.4283
I 0.0437 0.0877 0.7500
F 0.3031 0.6062 0.5717
F 0.6969 0.3938 0.0717
F 0.3031 0.6062 0.9283
Pr 0.2404 0.4807 0.2500
I 0.9563 0.9123 0.2500

Summary:
SG: Cmcm, No. 63
Size of the total moment in μB per atom: 0.00

## Q
The following is a DFT calculation (PBE) of a relaxed PrIF2 crystal.

a b c (Å): 4.1519 4.1519 6.1807
angles (deg): 70.37 70.37 60.00
Fractional positions:
F 0.3060 0.3060 0.0821
F 0.6940 0.6940 0.9179
Pr 0.0000 0.0000 0.0000
I 0.5000 0.5000 0.5000

Summary:
SG: R-3m, No. 166
Size of the total moment in μB per atom: 0.00

Name the most stable of them. P.

## P
The following is a DFT calculation (PBE) of a relaxed PtI3F crystal.

a b c (Å): 5.1788 5.1788 5.1788
angles (deg): 90.00 90.00 90.00
Last column: magnetic moment on the atom in μB.
Fractional positions:
F 0.0000 0.0000 0.0000  -0.03
I 0.0000 0.0000 0.5000  -0.01
I 0.0000 0.5000 0.0000  0.01
Pt 0.5000 0.5000 0.5000  0.28
I 0.5000 0.0000 0.0000  -0.01

Summary:
SG: Pm-3m, No. 221
Size of the total moment in μB per atom: 0.05

## Q
The following is a DFT calculation (PBE) of a relaxed PtI3F crystal.

a b c (Å): 5.4501 5.4501 5.4501
angles (deg): 90.00 90.00 90.00
Last column: magnetic moment on the atom in μB.
Fractional positions:
I 0.5000 0.0000 0.0000  -0.28
Pt 0.0000 0.0000 0.0000  -0.08
F 0.5000 0.5000 0.5000  -0.38
I 0.0000 0.5000 0.0000  -0.14
I 0.0000 0.0000 0.5000  -0.08

Summary:
SG: Pm-3m, No. 221
Size of the total moment in μB per atom: 0.24

Name the most stable of them. Q.

## P
The following is a DFT calculation (PBE) of a relaxed PtIF2 crystal.

a b c (Å): 9.2161 9.2161 9.2161
angles (deg): 19.63 19.63 19.63
Last column: magnetic moment on the atom in μB.
Fractional positions:
Pt 0.5000 0.5000 0.5000  0.77
F 0.9249 0.9249 0.9249  0.01
F 0.0751 0.0751 0.0751  0.01
I 0.0000 0.0000 0.0000  -0.02

Summary:
SG: R-3m, No. 166
Size of the total moment in μB per atom: 0.21

## Q
The following is a DFT calculation (PBE) of a relaxed PtIF2 crystal.

a b c (Å): 4.4282 4.4282 4.4282
angles (deg): 60.00 60.00 60.00
Fractional positions:
Pt 0.5000 0.5000 0.5000
I 0.0000 0.0000 0.0000
F 0.2500 0.2500 0.2500
F 0.7500 0.7500 0.7500

Summary:
SG: Fm-3m, No. 225
Size of the total moment in μB per atom: 0.00

Name the most stable of them. P.

## P
The following is a DFT calculation (PBE) of a relaxed PtIF2 crystal.

a b c (Å): 9.9626 9.9626 9.9626
angles (deg): 17.64 17.64 17.64
Last column: magnetic moment on the atom in μB.
Fractional positions:
F 0.9348 0.9348 0.9348  0.13
Pt 0.0000 0.0000 0.0000  0.44
I 0.5000 0.5000 0.5000  -0.02
F 0.0652 0.0652 0.0652  0.13

Summary:
SG: R-3m, No. 166
Size of the total moment in μB per atom: 0.18

## Q
The following is a DFT calculation (PBE) of a relaxed PtIF2 crystal.

a b c (Å): 3.9250 3.9250 8.9079
angles (deg): 77.27 77.27 90.00
Fractional positions:
Pt 0.0000 0.0000 0.0000
F 0.6308 0.1250 0.2500
Pt 0.7500 0.2500 0.5000
I 0.2500 0.7500 0.5000
I 0.5000 0.5000 0.0000
F 0.8750 0.8808 0.7500
F 0.3750 0.3692 0.7500
F 0.1192 0.6250 0.2500

Summary:
SG: I-42d, No. 122
Size of the total moment in μB per atom: 0.00

Name the most stable of them. P.

## P
The following is a DFT calculation (PBE) of a relaxed Sb2PtIF crystal.

a b c (Å): 4.6454 4.6454 5.5457
angles (deg): 90.00 90.00 90.00
Fractional positions:
Pt 0.5000 0.5000 0.5000
I 0.0000 0.0000 0.5000
Sb 0.5000 0.0000 0.0000
F 0.0000 0.0000 0.0000
Sb 0.0000 0.5000 0.0000

Summary:
SG: P4/mmm, No. 123
Size of the total moment in μB per atom: 0.00

## Q
The following is a DFT calculation (PBE) of a relaxed Sb2PtIF crystal.

a b c (Å): 5.2007 5.2007 5.5945
angles (deg): 90.00 90.00 90.00
Fractional positions:
F 0.5000 0.5000 0.5000
Sb 0.0000 0.5000 0.0000
Pt 0.0000 0.0000 0.0000
I 0.0000 0.0000 0.5000
Sb 0.5000 0.0000 0.0000

Summary:
SG: P4/mmm, No. 123
Size of the total moment in μB per atom: 0.00

Name the most stable of them. Q.

## P
The following is a DFT calculation (PBE) of a relaxed Te2PtIF crystal.

a b c (Å): 5.2591 5.2591 5.5245
angles (deg): 90.00 90.00 90.00
Fractional positions:
Te 0.0000 0.5000 0.0000
Te 0.5000 0.0000 0.0000
I 0.0000 0.0000 0.5000
F 0.5000 0.5000 0.5000
Pt 0.0000 0.0000 0.0000

Summary:
SG: P4/mmm, No. 123
Size of the total moment in μB per atom: 0.00

## Q
The following is a DFT calculation (PBE) of a relaxed Te2PtIF crystal.

a b c (Å): 4.5123 4.5123 6.9092
angles (deg): 90.00 90.00 90.00
Last column: magnetic moment on the atom in μB.
Fractional positions:
I 0.0000 0.0000 0.5000  0.02
Te 0.0000 0.5000 0.0000  0.07
Pt 0.5000 0.5000 0.5000  0.24
F 0.0000 0.0000 0.0000  0.01
Te 0.5000 0.0000 0.0000  0.07

Summary:
SG: P4/mmm, No. 123
Size of the total moment in μB per atom: 0.11

Name the most stable of them. P.

## P
The following is a DFT calculation (PBE) of a relaxed Rb2IF crystal.

a b c (Å): 5.8573 5.8573 5.8573
angles (deg): 60.00 60.00 60.00
Fractional positions:
I 0.5000 0.5000 0.5000
F 0.0000 0.0000 0.0000
Rb 0.2500 0.2500 0.2500
Rb 0.7500 0.7500 0.7500

Summary:
SG: Fm-3m, No. 225
Size of the total moment in μB per atom: 0.00

## Q
The following is a DFT calculation (PBE) of a relaxed Rb2IF crystal.

a b c (Å): 4.5750 4.5750 8.3250
angles (deg): 90.00 105.94 120.02
Fractional positions:
I 0.0000 0.5000 0.5000
Rb 0.4601 0.7299 0.1900
F 0.0000 0.0000 0.0000
Rb 0.5399 0.2701 0.8100

Summary:
SG: R-3m, No. 166
Size of the total moment in μB per atom: 0.00

## R
The following is a DFT calculation (PBE) of a relaxed Rb2IF crystal.

a b c (Å): 4.5214 4.5214 8.4881
angles (deg): 74.55 74.55 60.00
Fractional positions:
Rb 0.0637 0.0637 0.8088
I 0.4993 0.4993 0.5020
F 0.6674 0.6674 0.9979
Rb 0.2696 0.2696 0.1913

Summary:
SG: R3m, No. 160
Size of the total moment in μB per atom: 0.00

## S
The following is a DFT calculation (PBE) of a relaxed Rb2IF crystal.

a b c (Å): 4.0089 4.0089 8.1940
angles (deg): 90.00 90.00 90.00
Fractional positions:
Rb 0.0000 0.0000 0.7899
Rb 0.0000 0.0000 0.2101
F 0.5000 0.5000 0.0000
I 0.5000 0.5000 0.5000

Summary:
SG: P4/mmm, No. 123
Size of the total moment in μB per atom: 0.00

Name the most stable of them. Q.

## P
The following is a DFT calculation (PBE) of a relaxed RbI3F crystal.

a b c (Å): 9.2973 9.2973 7.8853
angles (deg): 53.88 53.88 90.00
Fractional positions:
I 0.2500 0.2500 0.5000
I 0.7500 0.7500 0.0000
Rb 0.2500 0.7500 0.5000
F 0.5000 0.5000 0.0000
F 0.0000 0.0000 0.0000
I 0.2500 0.7500 0.0000
I 0.2500 0.2500 0.0000
I 0.7500 0.2500 0.0000
Rb 0.7500 0.2500 0.5000
I 0.7500 0.7500 0.5000

Summary:
SG: P4/mmm, No. 123
Size of the total moment in μB per atom: 0.00

## Q
The following is a DFT calculation (PBE) of a relaxed RbI3F crystal.

a b c (Å): 7.1315 7.1315 7.1315
angles (deg): 90.00 90.00 90.00
Last column: magnetic moment on the atom in μB.
Fractional positions:
I 0.5000 0.0000 0.0000  0.45
I 0.0000 0.0000 0.5000  0.50
Rb 0.0000 0.0000 0.0000  0.00
I 0.0000 0.5000 0.0000  0.49
F 0.5000 0.5000 0.5000  0.53

Summary:
SG: Pm-3m, No. 221
Size of the total moment in μB per atom: 0.60

Name the most stable of them. P.

## P
The following is a DFT calculation (PBE) of a relaxed Rb2IF7 crystal.

a b c (Å): 6.6621 6.6621 6.6629
angles (deg): 60.00 60.00 90.00
Fractional positions:
F 0.2157 0.7843 0.0000
Rb 0.7500 0.2500 0.5000
F 0.7843 0.2157 0.0000
F 0.2157 0.2157 0.0000
F 0.2156 0.2156 0.5688
Rb 0.2500 0.7500 0.5000
F 0.5000 0.5000 0.0000
F 0.7844 0.7844 0.4312
I 0.0000 0.0000 0.0000
F 0.7843 0.7843 0.0000

Summary:
SG: Fm-3m, No. 225
Size of the total moment in μB per atom: 0.00

## Q
The following is a DFT calculation (PBE) of a relaxed Rb2IF7 crystal.

a b c (Å): 7.2535 8.1036 8.6063
angles (deg): 74.16 65.08 63.41
Fractional positions:
F 0.9664 0.9768 0.7368
F 0.7597 0.8616 0.3693
F 0.0336 0.0232 0.2632
Rb 0.6124 0.9060 0.7225
F 0.9318 0.3173 0.4944
F 0.9905 0.6384 0.1307
F 0.0682 0.6827 0.5056
F 0.2403 0.1384 0.6307
Rb 0.3876 0.0940 0.2775
F 0.3200 0.4768 0.2368
Rb 0.7591 0.4060 0.2225
I 0.1090 0.7500 0.2500
F 0.6081 0.2500 0.7500
F 0.0095 0.3616 0.8693
I 0.8910 0.2500 0.7500
F 0.2565 0.8173 0.9944
F 0.6800 0.5232 0.7632
F 0.7435 0.1827 0.0056
F 0.3919 0.7500 0.2500
Rb 0.2409 0.5940 0.7775

Summary:
SG: C2/c, No. 15
Size of the total moment in μB per atom: 0.00

Name the most stable of them. Q.

## P
The following is a DFT calculation (PBE) of a relaxed Rb4I3F crystal.

a b c (Å): 10.3860 10.9858 12.5642
angles (deg): 90.00 90.00 90.00
Fractional positions:
I 0.9627 0.7072 0.4577
Rb 0.8206 0.0330 0.0607
Rb 0.5137 0.8980 0.7500
Rb 0.7944 0.2490 0.7500
I 0.6240 0.4270 0.2500
I 0.1240 0.0730 0.2500
Rb 0.3206 0.4670 0.0607
I 0.9627 0.7072 0.0423
Rb 0.2056 0.7510 0.2500
Rb 0.6794 0.5330 0.9393
Rb 0.4863 0.1020 0.2500
Rb 0.6794 0.5330 0.5607
Rb 0.7056 0.7490 0.2500
Rb 0.8206 0.0330 0.4393
F 0.7840 0.4941 0.7500
F 0.2840 0.0059 0.7500
Rb 0.1794 0.9670 0.5607
Rb 0.3206 0.4670 0.4393
F 0.2160 0.5059 0.2500
I 0.5373 0.2072 0.5423
I 0.4627 0.7928 0.0423
I 0.4627 0.7928 0.4577
Rb 0.1794 0.9670 0.9393
I 0.0373 0.2928 0.9577
Rb 0.2944 0.2510 0.7500
I 0.5373 0.2072 0.9577
I 0.8760 0.9270 0.7500
I 0.0373 0.2928 0.5423
Rb 0.9863 0.3980 0.2500
Rb 0.0137 0.6020 0.7500
I 0.3760 0.5730 0.7500
F 0.7160 0.9941 0.2500

Summary:
SG: Pnma, No. 62
Size of the total moment in μB per atom: 0.00

## Q
The following is a DFT calculation (PBE) of a relaxed Rb4I3F crystal.

a b c (Å): 7.3821 10.0501 11.7927
angles (deg): 90.00 90.00 90.00
Fractional positions:
Rb 0.0656 0.3078 0.2122
Rb 0.1408 0.8019 0.5000
Rb 0.0656 0.3078 0.7878
Rb 0.5656 0.6922 0.7122
Rb 0.6408 0.1981 0.0000
Rb 0.0629 0.9088 0.0000
Rb 0.5629 0.0912 0.5000
I 0.0584 0.6701 0.7696
I 0.5584 0.3299 0.7304
F 0.0055 0.1839 0.0000
I 0.5581 0.8525 0.0000
I 0.0584 0.6701 0.2304
F 0.5055 0.8161 0.5000
I 0.5584 0.3299 0.2696
I 0.0580 0.1475 0.5000
Rb 0.5656 0.6922 0.2878

Summary:
SG: Pmn2_1, No. 31
Size of the total moment in μB per atom: 0.00

Name the most stable of them. P.